1.
CeNd2Er8 | PBE | optimized geometry

Cell lengths 5.559, 10.098, 10.098 Å; angles 39.96, 92.73, 92.73 degrees
Site moments in Bohr magnetons follow the coordinates.
Sites, in units of the cell vectors:
Nd 0.751 0.283 0.283  -0.02
Nd 0.249 0.717 0.717  -0.02
Er 0.763 0.453 0.453  0.02
Er 0.732 0.865 0.394  0.01
Er 0.268 0.135 0.606  0.01
Er 0.233 0.184 0.184  0.01
Er 0.767 0.816 0.816  0.01
Er 0.732 0.394 0.865  0.01
Er 0.268 0.606 0.135  0.01
Er 0.237 0.547 0.547  0.02
Ce 0.000 0.000 0.000  0.92



2.
CeNd2Er2 | PBE | optimized geometry

Cell lengths 4.528, 4.528, 8.912 Å; angles 104.72, 104.72, 90.00 degrees
Site moments in Bohr magnetons follow the coordinates.
Sites, in units of the cell vectors:
Er 0.750 0.250 0.500  -0.06
Er 0.250 0.750 0.500  -0.06
Nd 0.407 0.407 0.814  0.00
Nd 0.593 0.593 0.186  0.00
Ce 0.000 0.000 0.000  0.71



3.
CeNd12Er6 | PBE | optimized geometry

Cell lengths 9.585, 9.585, 9.585 Å; angles 110.95, 110.95, 110.95 degrees
Site moments in Bohr magnetons follow the coordinates.
Sites, in units of the cell vectors:
Nd 0.843 0.261 0.896  0.01
Nd 0.942 0.420 0.627  0.00
Nd 0.104 0.157 0.739  0.01
Nd 0.058 0.580 0.373  0.00
Nd 0.373 0.058 0.580  0.00
Nd 0.580 0.373 0.058  0.00
Nd 0.896 0.843 0.261  0.01
Nd 0.739 0.104 0.157  0.01
Nd 0.627 0.942 0.420  0.00
Nd 0.157 0.739 0.104  0.01
Nd 0.261 0.896 0.843  0.01
Nd 0.420 0.627 0.942  0.00
Er 0.683 0.529 0.786  0.03
Er 0.214 0.317 0.471  0.03
Er 0.786 0.683 0.529  0.03
Er 0.529 0.786 0.683  0.03
Er 0.317 0.471 0.214  0.03
Er 0.471 0.214 0.317  0.03
Ce 0.000 0.000 0.000  0.82



4.
CeNd8Er2 | PBE | optimized geometry

Cell lengths 5.706, 8.247, 9.455 Å; angles 115.86, 107.56, 90.00 degrees
Site moments in Bohr magnetons follow the coordinates.
Sites, in units of the cell vectors:
Er 0.800 0.300 0.601  -0.02
Er 0.200 0.700 0.399  -0.02
Nd 0.836 0.836 0.673  0.01
Nd 0.636 0.428 0.272  0.03
Nd 0.364 0.572 0.728  0.03
Nd 0.636 0.844 0.272  0.03
Nd 0.000 0.711 0.000  0.02
Nd 0.164 0.164 0.327  0.01
Nd 0.364 0.156 0.728  0.03
Nd 0.000 0.289 0.000  0.02
Ce 0.500 0.000 0.000  0.66



5.
CeNd2Er2 | PBE | optimized geometry

Cell lengths 6.116, 6.116, 6.406 Å; angles 118.51, 118.51, 90.00 degrees
Site moments in Bohr magnetons follow the coordinates.
Sites, in units of the cell vectors:
Nd 0.750 0.250 0.500  0.03
Nd 0.250 0.750 0.500  0.03
Er 0.655 0.655 0.310  0.07
Er 0.345 0.345 0.690  0.07
Ce 0.000 0.000 0.000  0.88



6.
CeNdEr3 | PBE | optimized geometry

Cell lengths 6.256, 9.557, 8.378 Å; angles 136.64, 68.14, 109.70 degrees
Site moments in Bohr magnetons follow the coordinates.
Sites, in units of the cell vectors:
Er 0.791 0.658 0.756  0.02
Er 0.209 0.342 0.244  0.02
Er 0.581 0.257 0.757  0.03
Er 0.419 0.743 0.243  0.03
Er 0.175 0.457 0.756  0.03
Er 0.825 0.543 0.244  0.03
Ce 0.012 0.955 0.276  0.64
Ce 0.988 0.045 0.724  0.64
Nd 0.616 0.156 0.258  0.02
Nd 0.384 0.844 0.742  0.02



Table of DOS(E_F) (states/eV/f.u.), in record order: 22.06 11.71 30.42 19.26 12.37 10.71
Table of energy of formation (eV per atom), in record order: 0.183 0.385 0.031 0.117 0.566 0.059